Record 1
Density functional theory data (GGA-PBE) for a geometry-optimized La2BePb2 structure.

Lattice parameters (Å, degrees): 4.3177 4.3177 9.0751 76.24 76.24 90.00
Fractional positions:
Be 0.0000 0.0000 0.0000
Pb 0.2500 0.7500 0.5000
Pb 0.7500 0.2500 0.5000
La 0.4079 0.4079 0.1842
La 0.5921 0.5921 0.8158

Computed properties:
**ΔH_f (0 K)**: 207 meV per atom
**Energy above the lowest structure with this stoichiometry**: 400.7 meV per atom
**Symmetry**: I4/mmm, No. 139


Record 2
Density functional theory data (GGA-PBE) for a geometry-optimized NdYNpN3 structure.

Lattice parameters (Å, degrees): 3.6249 7.2372 8.6852 98.40 90.00 90.00
Each line ends with the local moment (μB).
Fractional positions:
N 0.2500 0.7796 0.4104  -0.04
N 0.7500 0.2204 0.5896  -0.04
N 0.7500 0.8973 0.1517  -0.02
N 0.2500 0.1027 0.8483  -0.02
N 0.2500 0.6034 0.8779  0.00
N 0.7500 0.3966 0.1221  0.00
Nd 0.7500 0.8331 0.8639  0.03
Nd 0.2500 0.1669 0.1361  0.03
Np 0.7500 0.9428 0.4076  1.05
Np 0.2500 0.0572 0.5924  1.05
Y 0.2500 0.6301 0.1489  0.02
Y 0.7500 0.3699 0.8511  0.02

Computed properties:
**Symmetry**: P2_1/m, No. 11
**Formation energy (no corrections)**: -1.036 eV/atom


Record 3
Density functional theory data (GGA-PBE) for a geometry-optimized HfNbCd structure.

Lattice parameters (Å, degrees): 3.3343 3.3343 11.2454 90.00 90.00 90.00
Fractional positions:
Cd 0.8726 0.2908 0.1684
Cd 0.3726 0.7911 0.3438
Hf 0.3724 0.7910 0.9802
Hf 0.8723 0.2913 0.5321
Nb 0.8723 0.2912 0.8250
Nb 0.3723 0.7913 0.6874

Computed properties:
**ΔH_f (0 K)**: -35 meV per atom
**Energy above the lowest structure with this stoichiometry**: 0.0 meV per atom
**Symmetry**: P4/nmm, No. 129


Question: Number 2 is which compound?
Answer: NdYNpN3


Question: Number 3 is which compound?
Answer: HfNbCd